Entry from Alexandria via LeMat-Bulk: BeMoS2 after structural relaxation (PBE).

Output
* VASP energy: -5.9375 eV per atom
* uncorrected formation energy: -0.9 eV/f.u.
* volume: 15.61 Å³ per atom

```
data_BeMoS2
_space_group_name_H-M_alt 'R -3 m'
_space_group_IT_number 166
_space_group_name_Hall '-R 3 2"'
_cell_length_a 3.1657
_cell_length_b 3.1657
_cell_length_c 21.5787
_cell_angle_alpha 90.00
_cell_angle_beta 90.00
_cell_angle_gamma 120.00
loop_
_atom_site_label
_atom_site_fract_x
_atom_site_fract_y
_atom_site_fract_z
Be1 0.0000 0.0000 0.0000
Mo1 0.0000 0.0000 0.5000
S1 0.0000 0.0000 0.0915
```

Entry from Alexandria via LeMat-Bulk: Ir4Au after structural relaxation (PBE).

Output
* VASP energy: -4.9375 eV per atom
* formation enthalpy at 0 K: 2807 meV/atom
* polymorph energy (0 for the lowest one): 58.75 kcal/mol of atoms
* volume: 21.96 Å³ per atom

```
data_Ir4Au
_space_group_name_H-M_alt 'P m -3 m'
_space_group_IT_number 221
_space_group_name_Hall '-P 4 2 3'
_cell_length_a 4.789
_cell_length_b 4.789
_cell_length_c 4.789
_cell_angle_alpha 90.00
_cell_angle_beta 90.00
_cell_angle_gamma 90.00
loop_
_atom_site_label
_atom_site_fract_x
_atom_site_fract_y
_atom_site_fract_z
Ir1 0.000 0.000 0.000
Ir2 0.000 0.500 0.500
Au1 0.500 0.500 0.500
```

Entry from Alexandria via LeMat-Bulk: Tl2CdH after structural relaxation (PBE).

Output
* VASP energy: -1.8461 eV per atom
* polymorph energy (0 for the lowest one): 1.35 kcal/mol of atoms
* volume: 23.66 Å³ per atom

```
data_Tl2CdH
_space_group_name_H-M_alt 'F m -3 m'
_space_group_IT_number 225
_space_group_name_Hall '-F 4 2 3'
_cell_length_a 7.234
_cell_length_b 7.234
_cell_length_c 7.234
_cell_angle_alpha 90.00
_cell_angle_beta 90.00
_cell_angle_gamma 90.00
loop_
_atom_site_label
_atom_site_fract_x
_atom_site_fract_y
_atom_site_fract_z
Tl1 0.250 0.250 0.250
Cd1 0.000 0.000 0.000
H1 0.000 0.000 0.500
```

Which of these has the highest VASP energy?
Tl2CdH